6
Lattice="3.9118 -1.7946 0.0000 3.9118 1.7946 0.0000 -1.2850 0.0000 9.0193" Properties=species:S:1:pos:R:3 comment="PBE LiSmC, relaxed" total_magnetization_mub_per_cell=0.0 polymorph_energy_mev_per_atom=0.0 space_group="C2/m, No. 12" crystal_system=monoclinic pbc="T T T"
Li 0.4983 0.0000 3.8761
Li 6.0403 0.0000 5.1432
Sm 2.7499 0.0000 1.3722
Sm 3.7887 0.0000 7.6472
C 0.5803 0.0000 0.3492
C 5.9583 0.0000 8.6701

5
Lattice="4.1724 0.0000 0.0000 0.0000 4.1724 0.0000 0.0000 0.0000 4.1724" Properties=species:S:1:pos:R:3 comment="PBE Li3SnC, relaxed" total_magnetization_mub_per_cell=0.0 polymorph_energy_mev_per_atom=0.0 space_group="Pm-3m, No. 221" crystal_system=cubic pbc="T T T"
Li 0.0000 0.0000 2.0862
Li 0.0000 2.0862 0.0000
Li 2.0862 0.0000 0.0000
Sn 2.0862 2.0862 2.0862
C 0.0000 0.0000 0.0000

8
Lattice="-1.8993 1.8993 6.4621 1.8993 -1.8993 6.4621 1.8993 1.8993 -6.4621" Properties=species:S:1:pos:R:3 comment="PBE LiSnC2, relaxed" dft_energy_ry_per_atom=-0.3380 total_magnetization_mub_per_cell=0.0 space_group="I-42d, No. 122" crystal_system=tetragonal pbc="T T T"
Li 0.0000 0.0000 0.0000
Li 0.0000 1.8993 3.2311
Sn 1.8993 0.0000 3.2311
Sn 0.0000 0.0000 6.4621
C 0.4311 0.9496 1.6155
C -0.9496 1.4682 4.8466
C -0.4311 2.8489 1.6155
C 0.9496 2.3304 4.8466

5
Lattice="4.9006 0.0000 0.0000 0.0000 4.9006 0.0000 0.0000 0.0000 4.9006" Properties=species:S:1:pos:R:3 comment="PBE LiSn3C, relaxed" total_magnetization_mub_per_cell=1.1 polymorph_energy_mev_per_atom=680.5 space_group="Pm-3m, No. 221" crystal_system=cubic pbc="T T T"
Li 0.0000 0.0000 0.0000
Sn 0.0000 0.0000 2.4503
Sn 0.0000 2.4503 0.0000
Sn 2.4503 0.0000 0.0000
C 2.4503 2.4503 2.4503

5
Lattice="3.8468 0.0000 0.0000 0.0000 3.8468 0.0000 0.0000 0.0000 3.8468" Properties=species:S:1:pos:R:3 comment="PBE LiSnC3, relaxed" total_magnetization_mub_per_cell=0.0 polymorph_energy_mev_per_atom=0.0 space_group="Pm-3m, No. 221" crystal_system=cubic pbc="T T T"
Li 0.0000 0.0000 0.0000
Sn 1.9234 1.9234 1.9234
C 0.0000 0.0000 1.9234
C 0.0000 1.9234 0.0000
C 1.9234 0.0000 0.0000

8
Lattice="-3.5754 3.5754 2.9192 3.5754 -3.5754 2.9192 3.5754 3.5754 -2.9192" Properties=species:S:1:pos:R:3 comment="PBE LiSn2C, relaxed" dft_energy_ry_per_atom=-0.3128 total_magnetization_mub_per_cell=0.0 space_group="I-42d, No. 122" crystal_system=tetragonal pbc="T T T"
Li 0.0000 0.0000 0.0000
Li 0.0000 3.5754 1.4596
Sn 1.7877 -1.2431 2.1894
Sn 2.3323 1.7877 0.7298
Sn 1.7877 4.8184 -0.7298
Sn 1.2431 1.7877 3.6490
C 3.5754 0.0000 1.4596
C 0.0000 0.0000 2.9192

5
Lattice="4.8108 0.0000 0.0000 0.0000 4.8108 0.0000 0.0000 0.0000 4.8108" Properties=species:S:1:pos:R:3 comment="PBE LiSn3C, relaxed" total_magnetization_mub_per_cell=0.0 polymorph_energy_mev_per_atom=0.0 space_group="Pm-3m, No. 221" crystal_system=cubic pbc="T T T"
Li 0.0000 0.0000 0.0000
Sn 0.0000 2.4054 2.4054
Sn 2.4054 0.0000 2.4054
Sn 2.4054 2.4054 0.0000
C 2.4054 2.4054 2.4054

5
Lattice="5.2052 0.0000 0.0000 0.0000 5.2052 0.0000 0.0000 0.0000 5.2052" Properties=species:S:1:pos:R:3 comment="PBE Li3SnC, relaxed" total_magnetization_mub_per_cell=1.0 polymorph_energy_mev_per_atom=1001.1 space_group="Pm-3m, No. 221" crystal_system=cubic pbc="T T T"
Li 0.0000 0.0000 2.6026
Li 0.0000 2.6026 0.0000
Li 2.6026 0.0000 0.0000
Sn 0.0000 0.0000 0.0000
C 2.6026 2.6026 2.6026

5
Lattice="4.3470 0.0000 0.0000 0.0000 4.3470 0.0000 0.0000 0.0000 4.3470" Properties=species:S:1:pos:R:3 comment="PBE LiSnC3, relaxed" total_magnetization_mub_per_cell=0.0 polymorph_energy_mev_per_atom=40.0 space_group="Pm-3m, No. 221" crystal_system=cubic pbc="T T T"
Li 0.0000 0.0000 0.0000
Sn 2.1735 2.1735 2.1735
C 0.0000 2.1735 2.1735
C 2.1735 0.0000 2.1735
C 2.1735 2.1735 0.0000

5
Lattice="4.2955 0.0000 0.0000 0.0000 4.2955 0.0000 0.0000 0.0000 5.2880" Properties=species:S:1:pos:R:3 comment="PBE LiSnWC2, relaxed" dft_energy_ry_per_atom=-0.3296 total_magnetization_mub_per_cell=0.0 space_group="P4/mmm, No. 123" crystal_system=tetragonal pbc="T T T"
Li 0.0000 0.0000 0.0000
Sn 2.1478 2.1478 2.6440
W 2.1478 2.1478 0.0000
C 0.0000 2.1478 2.6440
C 2.1478 0.0000 2.6440

5
Lattice="4.9041 0.0000 0.0000 0.0000 4.9041 0.0000 0.0000 0.0000 4.3774" Properties=species:S:1:pos:R:3 comment="PBE LiY2SnC, relaxed" dft_energy_ry_per_atom=-0.4418 total_magnetization_mub_per_cell=0.0 space_group="P4/mmm, No. 123" crystal_system=tetragonal pbc="T T T"
Li 0.0000 0.0000 0.0000
Y 0.0000 2.4521 2.1887
Y 2.4521 0.0000 2.1887
Sn 2.4521 2.4521 0.0000
C 0.0000 0.0000 2.1887

8
Lattice="-2.3952 2.3952 6.4427 2.3952 -2.3952 6.4427 2.3952 2.3952 -6.4427" Properties=species:S:1:pos:R:3 comment="PBE SrLi2C, relaxed" dft_energy_ry_per_atom=-0.2289 total_magnetization_mub_per_cell=0.0 space_group="I4_1/amd, No. 141" crystal_system=tetragonal pbc="T T T"
Sr 2.3952 1.1976 1.6107
Sr 0.0000 1.1976 4.8320
Li 0.0000 0.0000 0.0000
Li 1.1976 1.1976 -3.2214
Li 1.1976 -1.1976 3.2214
Li 0.0000 2.3952 0.0000
C 2.3952 -1.1976 4.8320
C 0.0000 3.5929 1.6107